This record from Alexandria describes an optimized crystal structure of VGa2Ru. The functional is GGA-PBE.

Lattice parameters (Å, degrees): 2.846 2.846 8.464 80.32 80.32 60.00
Fractional positions:
1 V 0.500 0.500 0.499
2 Ga 0.081 0.081 0.756
3 Ga 0.252 0.252 0.244
4 Ru 0.666 0.666 0.001

Values from the calculation:
- space group = R3m
- formation energy (meV per atom) = -117
- total moment (μB/cell) = 0.00